Entry 1:
FeOsPb2: relaxed, PBE-GGA.

Results
energy relative to the elements = 0.93 eV/atom
SG = C2/m (12)

Geometry as extended XYZ:
```
8
Lattice="6.803 0.000 0.000 0.000 6.803 0.000 -0.009 0.000 3.306" Properties=species:S:1:pos:R:3 pbc="T T T"
Fe 0.000 0.000 0.000
Fe 3.402 3.401 0.000
Os 0.000 3.401 0.000
Os 3.402 0.000 0.000
Pb 1.696 1.701 1.653
Pb 1.696 5.102 1.653
Pb 5.098 1.701 1.653
Pb 5.098 5.102 1.653
```

=====

Entry 2:
FeOsPb4: relaxed, PBE-GGA.

Results
energy relative to the elements = 1.48 eV/atom
SG = F-43m (216)

Geometry as extended XYZ:
```
6
Lattice="0.000 4.356 4.356 4.356 0.000 4.356 4.356 4.356 0.000" Properties=species:S:1:pos:R:3 pbc="T T T"
Fe 0.000 0.000 0.000
Os 6.533 6.533 6.533
Pb 3.270 3.270 3.270
Pb 5.442 5.442 3.270
Pb 5.442 3.270 5.442
Pb 3.270 5.442 5.442
```

=====

Entry 3:
FeOs4Pb: relaxed, PBE-GGA.

Results
energy relative to the elements = 0.97 eV/atom
SG = F-43m (216)

Geometry as extended XYZ:
```
6
Lattice="0.000 3.712 3.712 3.712 0.000 3.712 3.712 3.712 0.000" Properties=species:S:1:pos:R:3 pbc="T T T"
Fe 0.000 0.000 0.000
Os 4.643 2.781 2.781
Os 2.781 4.643 2.781
Os 2.781 2.781 4.643
Os 4.643 4.643 4.643
Pb 1.856 1.856 1.856
```